(1)
Material: La12Sm2Y7
Method: DFT, PBE
State: optimized geometry

## Properties
Symmetry   P-6 (174)
E_tot   -5.380 eV per atom
V   737.48 Å³ per cell
Formation energy   0.039 eV per atom

Lattice parameters (Å, degrees): 15.355 15.355 3.612 90.00 90.00 120.00
Fractional positions:
La 0.050 0.800 0.000
La 0.130 0.419 0.500
La 0.200 0.250 0.000
La 0.289 0.870 0.500
La 0.415 0.264 0.500
La 0.492 0.096 0.000
La 0.581 0.711 0.500
La 0.603 0.508 0.000
La 0.736 0.152 0.500
La 0.750 0.950 0.000
La 0.848 0.585 0.500
La 0.904 0.397 0.000
Sm 0.000 0.000 0.500
Sm 0.333 0.667 0.000
Y 0.098 0.622 0.500
Y 0.234 0.045 0.000
Y 0.378 0.476 0.500
Y 0.524 0.902 0.500
Y 0.667 0.333 0.500
Y 0.811 0.766 0.000
Y 0.955 0.189 0.000


(2)
Material: La2SmY6
Method: DFT, PBE
State: optimized geometry

## Properties
Symmetry   C2/c (15)
E_tot   -5.824 eV per atom
V   608.49 Å³ per cell
Formation energy   0.104 eV per atom

Lattice parameters (Å, degrees): 9.698 9.698 6.649 98.08 98.08 95.74
Fractional positions:
La 0.112 0.168 0.376
La 0.168 0.112 0.876
La 0.832 0.888 0.124
La 0.888 0.832 0.624
Sm 0.383 0.617 0.750
Sm 0.617 0.383 0.250
Y 0.042 0.444 0.734
Y 0.159 0.775 0.999
Y 0.225 0.841 0.501
Y 0.280 0.453 0.189
Y 0.444 0.042 0.234
Y 0.453 0.280 0.689
Y 0.547 0.720 0.311
Y 0.556 0.958 0.766
Y 0.720 0.547 0.811
Y 0.775 0.159 0.499
Y 0.841 0.225 0.001
Y 0.958 0.556 0.266


(3)
Material: La4Sm15Y
Method: DFT, PBE
State: optimized geometry

## Properties
Symmetry   P4/mmm (123)
E_tot   -4.828 eV per atom
V   688.91 Å³ per cell
Formation energy   0.020 eV per atom

Lattice parameters (Å, degrees): 5.168 5.168 25.796 90.00 90.00 90.00
Fractional positions:
La 0.000 0.000 0.101
La 0.000 0.000 0.301
La 0.000 0.000 0.699
La 0.000 0.000 0.899
Sm 0.000 0.500 0.000
Sm 0.000 0.500 0.201
Sm 0.000 0.500 0.402
Sm 0.000 0.500 0.598
Sm 0.000 0.500 0.799
Sm 0.500 0.000 0.000
Sm 0.500 0.000 0.201
Sm 0.500 0.000 0.402
Sm 0.500 0.000 0.598
Sm 0.500 0.000 0.799
Sm 0.500 0.500 0.100
Sm 0.500 0.500 0.302
Sm 0.500 0.500 0.500
Sm 0.500 0.500 0.698
Sm 0.500 0.500 0.900
Y 0.000 0.000 0.500


(4)
Material: La6SmY5
Method: DFT, PBE
State: optimized geometry

## Properties
Symmetry   Immm (71)
E_tot   -5.477 eV per atom
V   420.29 Å³ per cell
Formation energy   0.074 eV per atom

Lattice parameters (Å, degrees): 10.231 10.231 10.231 146.05 134.89 57.63
Fractional positions:
La 0.081 0.332 0.749
La 0.247 0.000 0.247
La 0.417 0.668 0.749
La 0.583 0.332 0.251
La 0.753 0.000 0.753
La 0.919 0.668 0.251
Sm 0.500 0.500 0.000
Y 0.000 0.500 0.500
Y 0.167 0.167 0.000
Y 0.333 0.833 0.500
Y 0.667 0.167 0.500
Y 0.833 0.833 0.000


(5)
Material: La3Sm12Y
Method: DFT, PBE
State: optimized geometry

## Properties
Symmetry   P4/mmm (123)
E_tot   -4.848 eV per atom
V   549.03 Å³ per cell
Formation energy   0.019 eV per atom

Lattice parameters (Å, degrees): 5.159 5.159 20.625 90.00 90.00 90.00
Fractional positions:
La 0.000 0.000 0.000
La 0.000 0.000 0.251
La 0.000 0.000 0.749
Sm 0.000 0.500 0.125
Sm 0.000 0.500 0.377
Sm 0.000 0.500 0.623
Sm 0.000 0.500 0.875
Sm 0.500 0.000 0.125
Sm 0.500 0.000 0.377
Sm 0.500 0.000 0.623
Sm 0.500 0.000 0.875
Sm 0.500 0.500 0.000
Sm 0.500 0.500 0.252
Sm 0.500 0.500 0.500
Sm 0.500 0.500 0.748
Y 0.000 0.000 0.500


(6)
Material: La3Sm5Y4
Method: DFT, PBE
State: optimized geometry

## Properties
Offset from the most stable computed form   0.199 eV/atom
Symmetry   C2/m (12)
E_tot   -5.134 eV per atom
V   415.55 Å³ per cell
Formation energy   0.219 eV per atom

Lattice parameters (Å, degrees): 8.703 8.703 9.424 114.96 114.96 40.68
Fractional positions:
La 0.000 0.000 0.000
La 0.293 0.293 0.774
La 0.707 0.707 0.226
Sm 0.076 0.076 0.699
Sm 0.173 0.173 0.391
Sm 0.500 0.500 0.000
Sm 0.827 0.827 0.609
Sm 0.924 0.924 0.301
Y 0.292 0.292 0.128
Y 0.420 0.420 0.563
Y 0.580 0.580 0.437
Y 0.708 0.708 0.872